No. 1
A relaxed structure of Cd12Hg5Au3. Source: Alexandria via LeMat-Bulk, functional PBE.

Results
energy of formation from the pure elements: 1.67 eV/f.u.
space-group type: No. 230
DOS at the Fermi energy: 37.9 states/eV per cell
crystal system: cubic
M_tot: 0.00 μB per cell

a b c (Å): 14.4500 14.4500 14.4500
angles (deg): 109.47 109.47 109.47
Atoms (fractional coordinates):
Cd (0.0702, 0.6416, 0.4071)
Cd (0.0702, 0.9287, 0.6631)
Cd (0.0713, 0.2345, 0.1416)
Cd (0.0713, 0.3369, 0.9298)
Cd (0.0929, 0.7345, 0.6631)
Cd (0.0929, 0.8584, 0.4298)
Cd (0.1416, 0.0713, 0.2345)
Cd (0.1416, 0.5702, 0.9071)
Cd (0.1631, 0.2345, 0.5929)
Cd (0.1631, 0.4287, 0.5702)
Cd (0.2345, 0.1416, 0.0713)
Cd (0.2345, 0.5929, 0.1631)
Cd (0.2655, 0.3369, 0.9071)
Cd (0.2655, 0.4287, 0.3584)
Cd (0.3369, 0.9071, 0.2655)
Cd (0.3369, 0.9298, 0.0713)
Cd (0.3584, 0.2655, 0.4287)
Cd (0.3584, 0.5929, 0.9298)
Cd (0.4071, 0.0702, 0.6416)
Cd (0.4071, 0.8369, 0.7655)
Cd (0.4287, 0.3584, 0.2655)
Cd (0.4287, 0.5702, 0.1631)
Cd (0.4298, 0.0929, 0.8584)
Cd (0.4298, 0.8369, 0.5713)
Cd (0.5702, 0.1631, 0.4287)
Cd (0.5702, 0.9071, 0.1416)
Cd (0.5713, 0.4298, 0.8369)
Cd (0.5713, 0.6416, 0.7345)
Cd (0.5929, 0.1631, 0.2345)
Cd (0.5929, 0.9298, 0.3584)
Cd (0.6416, 0.4071, 0.0702)
Cd (0.6416, 0.7345, 0.5713)
Cd (0.6631, 0.0702, 0.9287)
Cd (0.6631, 0.0929, 0.7345)
Cd (0.7345, 0.5713, 0.6416)
Cd (0.7345, 0.6631, 0.0929)
Cd (0.7655, 0.4071, 0.8369)
Cd (0.7655, 0.8584, 0.9287)
Cd (0.8369, 0.5713, 0.4298)
Cd (0.8369, 0.7655, 0.4071)
Cd (0.8584, 0.4298, 0.0929)
Cd (0.8584, 0.9287, 0.7655)
Cd (0.9071, 0.1416, 0.5702)
Cd (0.9071, 0.2655, 0.3369)
Cd (0.9287, 0.6631, 0.0702)
Cd (0.9287, 0.7655, 0.8584)
Cd (0.9298, 0.0713, 0.3369)
Cd (0.9298, 0.3584, 0.5929)
Hg (0.0000, 0.0000, 0.0000)
Hg (0.0000, 0.0000, 0.5000)
Hg (0.0000, 0.5000, 0.0000)
Hg (0.0000, 0.5000, 0.5000)
Hg (0.1250, 0.7500, 0.8750)
Hg (0.1250, 0.8750, 0.2500)
Hg (0.2500, 0.1250, 0.8750)
Hg (0.2500, 0.6250, 0.3750)
Hg (0.3750, 0.2500, 0.6250)
Hg (0.3750, 0.6250, 0.7500)
Hg (0.5000, 0.0000, 0.0000)
Hg (0.5000, 0.0000, 0.5000)
Hg (0.5000, 0.5000, 0.0000)
Hg (0.5000, 0.5000, 0.5000)
Hg (0.6250, 0.3750, 0.2500)
Hg (0.6250, 0.7500, 0.3750)
Hg (0.7500, 0.3750, 0.6250)
Hg (0.7500, 0.8750, 0.1250)
Hg (0.8750, 0.1250, 0.7500)
Hg (0.8750, 0.2500, 0.1250)
Au (0.1250, 0.2500, 0.3750)
Au (0.1250, 0.3750, 0.7500)
Au (0.2500, 0.3750, 0.1250)
Au (0.2500, 0.8750, 0.6250)
Au (0.3750, 0.1250, 0.2500)
Au (0.3750, 0.7500, 0.1250)
Au (0.6250, 0.2500, 0.8750)
Au (0.6250, 0.8750, 0.7500)
Au (0.7500, 0.1250, 0.3750)
Au (0.7500, 0.6250, 0.8750)
Au (0.8750, 0.6250, 0.2500)
Au (0.8750, 0.7500, 0.6250)


No. 2
A relaxed structure of SbTe2IrN. Source: Alexandria via LeMat-Bulk, functional PBE.

Results
space-group type: No. 123
DOS at the Fermi energy: 2.9 states/eV per cell
crystal system: tetragonal
polymorph energy (0 for the lowest one): 0.675 eV/atom
M_tot: 0.00 μB per cell
raw formation energy: 977 meV/atom

a b c (Å): 4.6282 4.6282 4.6475
angles (deg): 90.00 90.00 90.00
Atoms (fractional coordinates):
Sb (0.0000, 0.0000, 0.0000)
Te (0.0000, 0.5000, 0.5000)
Te (0.5000, 0.0000, 0.5000)
Ir (0.5000, 0.5000, 0.0000)
N (0.0000, 0.0000, 0.5000)


No. 3
A relaxed structure of Sb2PtCl. Source: Alexandria via LeMat-Bulk, functional PBE.

Results
space-group type: No. 8
DOS at the Fermi energy: 2.5 states/eV per cell
crystal system: monoclinic
polymorph energy (0 for the lowest one): 0.229 eV/atom
M_tot: 0.00 μB per cell
raw formation energy: -249 meV/atom

a b c (Å): 15.3467 3.7237 3.8513
angles (deg): 90.00 101.49 90.00
Atoms (fractional coordinates):
Sb (0.0000, 0.0000, 0.0000)
Sb (0.1802, 0.0000, 0.6429)
Sb (0.5000, 0.5000, 0.0000)
Sb (0.6802, 0.5000, 0.6429)
Pt (0.0510, 0.5000, 0.5405)
Pt (0.5510, 0.0000, 0.5405)
Cl (0.2831, 0.5000, 0.2243)
Cl (0.7831, 0.0000, 0.2243)


No. 4
A relaxed structure of LaSc2Al. Source: Alexandria via LeMat-Bulk, functional PBE.

Results
energy of formation from the pure elements: -0.47 eV/f.u.
space-group type: No. 25
DOS at the Fermi energy: 6.4 states/eV per cell
crystal system: orthorhombic
M_tot: 0.00 μB per cell

a b c (Å): 3.4347 4.4244 6.6311
angles (deg): 90.00 90.00 90.00
Atoms (fractional coordinates):
La (0.0000, 0.0000, 0.0000)
Sc (0.0000, 0.0000, 0.5268)
Sc (0.5000, 0.5000, 0.2882)
Al (0.5000, 0.5000, 0.7360)


No. 5
A relaxed structure of SiPb2Se. Source: Alexandria via LeMat-Bulk, functional PBE.

Results
space-group type: No. 8
DOS at the Fermi energy: 3.6 states/eV per cell
crystal system: monoclinic
polymorph energy (0 for the lowest one): 0.084 eV/atom
M_tot: 0.00 μB per cell
raw formation energy: 135 meV/atom

a b c (Å): 11.4145 3.8092 4.8707
angles (deg): 90.00 90.27 90.00
Atoms (fractional coordinates):
Si (0.0000, 0.0000, 0.0000)
Si (0.5000, 0.5000, 0.0000)
Pb (0.0354, 0.5000, 0.5028)
Pb (0.2743, 0.0000, 0.0061)
Pb (0.5354, 0.0000, 0.5028)
Pb (0.7743, 0.5000, 0.0061)
Se (0.2886, 0.5000, 0.5073)
Se (0.7886, 0.0000, 0.5073)


No. 6
A relaxed structure of RbBeNb2Pt. Source: Alexandria via LeMat-Bulk, functional PBE.

Results
energy of formation from the pure elements: 13.38 eV/f.u.
space-group type: No. 123
DOS at the Fermi energy: 4.8 states/eV per cell
crystal system: tetragonal
M_tot: 0.00 μB per cell

a b c (Å): 4.8036 4.8036 4.2759
angles (deg): 90.00 90.00 90.00
Atoms (fractional coordinates):
Rb (0.0000, 0.0000, 0.0000)
Be (0.0000, 0.0000, 0.5000)
Nb (0.0000, 0.5000, 0.0000)
Nb (0.5000, 0.0000, 0.0000)
Pt (0.5000, 0.5000, 0.5000)